The following is a PBE calculation of an optimized crystal structure of TaW, from OQMD.

Structure (extended XYZ):
```
4
Lattice="4.9914 -0.6805 -1.9664 4.0989 2.3069 2.6685 -4.1205 -3.4856 0.3409" Properties=species:S:1:pos:R:3 pbc="T T T"
W 1.3891 -1.4194 1.1897
W 3.5807 -0.4399 -0.1466
Ta 3.2224 1.0696 2.1776
Ta 1.7474 -2.9288 -1.1346
```

Calculated values
Its total energy is -12.51 eV/atom. The symmetry is Imma.

The following is a PBE calculation of an optimized crystal structure of RbNa3Au2, from OQMD.

Structure (extended XYZ):
```
6
Lattice="-3.7270 2.3203 -4.7581 -2.6383 -1.5968 5.6924 0.7347 4.4219 1.5809" Properties=species:S:1:pos:R:3 pbc="T T T"
Au -3.0012 -0.2911 2.2089
Na -1.4962 3.3711 -1.5886
Au -3.3641 1.0146 -1.2746
Na -0.9518 1.4126 3.6366
Rb 0.0000 0.0000 0.0000
Na -2.8153 2.5727 1.2576
```

Calculated values
Its total energy is -2.10 eV/atom. The symmetry is P6/mmm.

The following is a PBE calculation of an optimized crystal structure of La2Nd2CI4Br, from OQMD.

Structure (extended XYZ):
```
10
Lattice="-5.8314 -0.3734 8.0683 -2.5628 -2.5081 9.2943 4.4035 7.3989 1.1425" Properties=species:S:1:pos:R:3 pbc="T T T"
Br -4.1971 -1.4408 8.6813
Nd -5.2950 2.3073 18.1346
Nd 1.3044 2.2101 0.3706
I -0.0456 1.8293 3.3066
I -3.9451 2.6881 15.1986
I -6.4380 -1.4139 14.7026
La -1.1815 2.0981 6.8033
C -1.9953 2.2587 9.2526
La -2.8092 2.4193 11.7019
I 2.4474 5.9313 3.8026
```

Calculated values
Its total energy is -4.84 eV/atom. The symmetry is C2/m.

The following is a PBE calculation of an optimized crystal structure of Mo2I, from OQMD.

Structure (extended XYZ):
```
6
Lattice="-0.1105 -5.0948 1.9989 -4.5755 -2.9831 -0.3610 -0.2182 -4.2747 -3.4122" Properties=species:S:1:pos:R:3 pbc="T T T"
Mo -3.0652 -7.7204 -1.1089
I -1.2261 -3.0881 -0.4436
Mo -2.9560 -5.5830 0.5972
Mo -3.0099 -5.1730 -2.1084
I 0.0000 0.0000 0.0000
Mo -0.7774 -6.2288 -0.9284
```

Calculated values
The symmetry is Fd-3m. The energy above the most stable polymorph in this dataset comes out at 0.00 eV/f.u.

The following is a PBE calculation of an optimized crystal structure of SmYBr2NCl, from OQMD.

Structure (extended XYZ):
```
12
Lattice="-6.3825 -1.0288 5.9380 -8.2633 -1.5344 2.5331 6.7679 -8.3557 -2.4978" Properties=species:S:1:pos:R:3 pbc="T T T"
N -3.9110 -3.9529 2.7475
Cl -8.8895 -5.2554 5.6910
Y -11.2429 -3.9979 6.8043
Br 1.7423 -9.0490 0.3814
Cl 1.0116 -5.6635 0.2822
Br -9.6202 -1.8698 5.5919
Sm -5.4562 -5.2986 3.8009
Sm -2.4217 -5.6203 2.1724
Y 3.3650 -6.9210 -0.8310
Br 0.9057 -2.0637 -0.1939
N -3.9669 -6.9659 3.2258
Br -8.7836 -8.8552 6.1671
```

Calculated values
The symmetry is C2/m. The energy above the most stable polymorph in this dataset comes out at 0.15 eV/f.u.

The following is a PBE calculation of an optimized crystal structure of LiSi5Ni3, from OQMD.

Structure (extended XYZ):
```
9
Lattice="-0.3882 4.7549 0.5963 -1.9095 -2.9932 3.2419 5.3708 0.0374 3.1979" Properties=species:S:1:pos:R:3 pbc="T T T"
Si 0.1296 2.1793 2.0885
Si 2.6854 0.0187 1.5990
Ni 1.7307 -1.4779 3.2199
Ni 1.5366 0.8996 3.5181
Si 3.4506 2.2024 4.0659
Si -0.3775 -0.4033 2.9703
Si 2.9435 -0.3802 4.9477
Li 0.0000 0.0000 0.0000
Ni 2.4913 2.3961 1.8971
```

Calculated values
Its total energy is -5.21 eV/atom. The symmetry is P6/mmm.

The following is a PBE calculation of an optimized crystal structure of TmGaNO, from OQMD.

Structure (extended XYZ):
```
8
Lattice="-3.1158 -1.0421 3.3996 -2.9212 -1.8269 -3.2374 1.9548 -4.0827 0.5400" Properties=species:S:1:pos:R:3 pbc="T T T"
Tm -2.0411 -3.4759 0.3511
N -0.6521 -2.4130 1.9501
N -0.4117 -3.1042 -1.3289
Ga 0.4766 -4.9596 -1.0835
Ga -1.5404 -0.5576 1.7046
O 0.0000 0.0000 0.0000
Tm 0.9774 -2.0414 0.2700
O -3.0185 -1.4345 0.0811
```

Calculated values
The symmetry is P4/nmm. The energy above the most stable polymorph in this dataset comes out at 0.29 eV/f.u.

The following is a PBE calculation of an optimized crystal structure of LiFe2Sb, from OQMD.

Structure (extended XYZ):
```
16
Lattice="-1.4780 4.2885 4.0926 -4.1460 2.2669 -3.8726 -4.2369 -3.7142 2.3619" Properties=species:S:1:pos:R:3 pbc="T T T"
Fe -6.5106 0.1079 0.0086
Fe -4.5714 1.8079 -1.0724
Fe -7.1871 2.0707 1.8818
Fe -5.2895 1.0332 3.6543
Li -4.9304 1.4206 1.2910
Li -4.1914 -0.7237 -0.7553
Sb -2.0730 1.1334 -1.9363
Fe -4.6130 -0.9296 1.7811
Li -2.8574 0.2871 3.2272
Fe -2.6738 0.7704 0.7001
Fe -3.3502 2.7332 2.5733
Li -2.8120 3.2777 0.1100
Sb -2.1184 -1.8571 1.1809
Sb -0.7390 2.1442 2.0463
Fe -5.2479 3.7707 0.8008
Sb 0.0000 0.0000 0.0000
```

Calculated values
Its total energy is -5.34 eV/atom. The symmetry is Pm-3m.

The following is a PBE calculation of an optimized crystal structure of TmNbN2O, from OQMD.

Structure (extended XYZ):
```
5
Lattice="-2.6267 1.6726 2.1612 0.4955 -2.5756 2.5955 3.4457 2.7136 2.0349" Properties=species:S:1:pos:R:3 pbc="T T T"
O 0.0395 1.8943 1.8722
Nb 0.8706 1.0795 3.5279
Tm -2.1451 2.0307 2.4246
N -0.9256 1.5288 4.3167
N 2.1855 2.1358 4.3252
```

Calculated values
Its total energy is -8.89 eV/atom. The symmetry is Pm.

The following is a PBE calculation of an optimized crystal structure of TmOs, from OQMD.

Structure (extended XYZ):
```
2
Lattice="0.0000 2.8142 2.8142 2.8142 0.0000 2.8142 2.8142 2.8142 0.0000" Properties=species:S:1:pos:R:3 pbc="T T T"
Tm 2.8142 2.8142 2.8142
Os 0.0000 0.0000 0.0000
```

Calculated values
Its total energy is -7.15 eV/atom. The symmetry is Fm-3m.

The following is a PBE calculation of an optimized crystal structure of NaTmCu, from OQMD.

Structure (extended XYZ):
```
3
Lattice="3.4643 -1.2122 3.0296 0.4280 2.2742 4.1586 -1.0662 -2.2432 4.0596" Properties=species:S:1:pos:R:3 pbc="T T T"
Na 2.1196 -0.8859 8.4359
Tm 0.0000 0.0000 0.0000
Cu 0.7065 -0.2953 2.8120
```

Calculated values
Its total energy is -2.50 eV/atom. The symmetry is F-43m.

The following is a PBE calculation of an optimized crystal structure of NdZn, from OQMD.

Structure (extended XYZ):
```
8
Lattice="-4.9486 -0.3453 1.6005 -0.2592 -7.9646 -2.5199 1.4433 -1.3656 4.1678" Properties=species:S:1:pos:R:3 pbc="T T T"
Zn -0.6766 -4.0205 -1.0830
Nd -4.3754 -0.3053 1.4151
Zn -1.2782 -4.7956 1.4289
Nd -3.7008 -3.4218 2.7179
Zn -2.0983 -2.1703 0.0155
Nd -3.8015 -6.5146 1.7394
Nd -1.1785 -0.8154 2.6985
Zn -2.2255 -6.0779 -1.2208
```

Calculated values
Its total energy is -3.11 eV/atom. The symmetry is Pmm2.

The following is a PBE calculation of an optimized crystal structure of HfCd2Bi, from OQMD.

Structure (extended XYZ):
```
4
Lattice="0.0000 3.6361 3.6361 3.6361 0.0000 3.6361 3.6361 3.6361 0.0000" Properties=species:S:1:pos:R:3 pbc="T T T"
Bi 3.6361 3.6361 3.6361
Hf 1.8181 1.8181 1.8181
Cd 0.0000 0.0000 0.0000
Cd 5.4542 5.4542 5.4542
```

Calculated values
Its total energy is -3.68 eV/atom. The symmetry is F-43m.

The following is a PBE calculation of an optimized crystal structure of Li4ZnGe2Pt, from OQMD.

Structure (extended XYZ):
```
8
Lattice="-4.0732 -1.2864 -0.3802 1.2809 -4.0909 0.1188 -0.5705 -0.0010 6.1161" Properties=species:S:1:pos:R:3 pbc="T T T"
Li 0.2090 -2.0462 4.6845
Ge 0.5038 -2.0457 1.5247
Li -2.1757 -0.6434 1.3009
Li -0.2853 -0.0005 3.0580
Zn -1.6814 -2.6892 2.9273
Li -1.3962 -2.6887 -0.1307
Ge -2.4705 -0.6440 4.4607
Pt 0.0000 0.0000 0.0000
```

Calculated values
Its total energy is -3.52 eV/atom. The symmetry is P-4m2.

The following is a PBE calculation of an optimized crystal structure of DyAgGeS3, from OQMD.

Structure (extended XYZ):
```
12
Lattice="1.9365 -6.2767 0.0000 1.9365 6.2767 0.0000 0.0000 0.0000 10.5222" Properties=species:S:1:pos:R:3 pbc="T T T"
S 1.9365 4.4538 9.8676
Ag 1.9365 -5.9265 2.6306
S 1.9365 -1.3531 2.6306
S 1.9365 4.4538 5.9157
S 1.9365 -4.4538 0.6546
S 1.9365 -4.4538 4.6065
S 1.9365 1.3531 7.8917
Dy 1.9365 0.0000 5.2611
Ag 1.9365 5.9265 7.8917
Ge 1.9365 -3.0410 7.8917
Ge 1.9365 3.0410 2.6306
Dy 1.9365 0.0000 0.0000
```

Calculated values
Its total energy is -4.87 eV/atom. The symmetry is Cmcm.

The following is a PBE calculation of an optimized crystal structure of TmCuB, from OQMD.

Structure (extended XYZ):
```
3
Lattice="-3.3993 2.1685 1.4114 -2.7462 1.7163 -2.7861 -3.9165 -1.6506 -0.4315" Properties=species:S:1:pos:R:3 pbc="T T T"
B -2.5155 0.5585 -0.4515
Tm 0.0000 0.0000 0.0000
Cu -7.5465 1.6756 -1.3546
```

Calculated values
The symmetry is F-43m. The energy above the most stable polymorph in this dataset comes out at 2.37 eV/f.u.

The following is a PBE calculation of an optimized crystal structure of SmHo2Si4Au4, from OQMD.

Structure (extended XYZ):
```
11
Lattice="-9.7176 8.4359 -1.1780 -7.4492 8.1999 -6.6523 6.7160 -10.5364 3.2960" Properties=species:S:1:pos:R:3 pbc="T T T"
Ho -6.4127 4.6909 -4.4360
Au -1.9975 0.4122 -2.4221
Ho -4.0381 1.4086 -0.0984
Au -12.8508 12.4533 -5.8617
Si -6.8183 4.1028 -1.3665
Si -7.7769 7.5364 -3.5473
Au -4.3160 4.1825 -1.9687
Sm 0.0000 0.0000 0.0000
Si -9.3899 9.0994 -4.2830
Si -3.6325 1.9966 -3.1678
Au -8.4533 5.6873 -2.1123
```

Calculated values
Its total energy is -5.13 eV/atom. The symmetry is Immm.

The following is a PBE calculation of an optimized crystal structure of TaNbNiP, from OQMD.

Structure (extended XYZ):
```
8
Lattice="5.0167 0.0000 0.0000 0.0000 3.5160 0.0000 -2.4062 0.0000 6.6051" Properties=species:S:1:pos:R:3 pbc="T T T"
Ta -1.2401 2.6370 6.1043
P 0.0818 0.8790 4.7289
P 2.5286 2.6370 1.8761
Ni 1.2760 0.8790 1.4114
Ni 1.3344 2.6370 5.1936
Nb -0.0717 2.6370 2.8153
Ta 3.8506 0.8790 0.5008
Nb 2.6821 0.8790 3.7897
```

Calculated values
The symmetry is P2_1/m. The energy above the most stable polymorph in this dataset comes out at 0.00 eV/f.u.

The following is a PBE calculation of an optimized crystal structure of ScInCoAg, from OQMD.

Structure (extended XYZ):
```
4
Lattice="-0.0557 -2.3877 3.9581 -3.8812 -2.0989 1.3789 -0.2894 -4.6129 -0.0871" Properties=species:S:1:pos:R:3 pbc="T T T"
In 0.0000 0.0000 0.0000
Ag -1.0566 -2.2749 1.3125
Sc -2.1131 -4.5497 2.6249
Co -3.1697 -6.8246 3.9374
```

Calculated values
The symmetry is F-43m. The energy above the most stable polymorph in this dataset comes out at 0.00 eV/f.u.

The following is a PBE calculation of an optimized crystal structure of NaNdTe4Au3, from OQMD.

Structure (extended XYZ):
```
9
Lattice="-5.3230 -3.6923 -1.7906 4.0567 -5.1765 -1.3855 -0.6180 -2.1781 6.3283" Properties=species:S:1:pos:R:3 pbc="T T T"
Nd -0.9421 -5.5234 1.5761
Au 1.7194 -3.6773 2.4714
Au -2.9705 -2.9352 2.2688
Na 0.0000 0.0000 0.0000
Au -0.6331 -4.4344 -1.5881
Te 1.2613 -6.4444 3.2694
Te -0.4683 -2.7453 0.7834
Te -3.4563 -5.6979 3.0657
Te -1.1051 -7.2060 -0.8141
```

Calculated values
Its total energy is -3.64 eV/atom. The symmetry is P-43m.